1.
A relaxed CdIn3N crystal, computed with GGA-PBE.

Cell lengths 4.818, 4.818, 4.818 Å; angles 90.00, 90.00, 90.00 degrees
Space group Pm-3m (No. 221)
One atom of each set of equivalent atoms:
Cd  0.000  0.000  0.000
In  0.000  0.500  0.500
N  0.500  0.500  0.500

* formation energy (no corrections): 0.445 eV/atom
* calculated density: 6.992 g cm⁻³
* V: 111.8 Å³/f.u.
* E above lowest polymorph: 0.0000 eV per atom

---

2.
A relaxed CsGa2TcHg crystal, computed with GGA-PBE.

Cell lengths 4.976, 4.976, 5.522 Å; angles 90.00, 90.00, 90.00 degrees
Space group P4/mmm (No. 123)
One atom of each set of equivalent atoms:
Cs  0.000  0.000  0.000
Ga  0.000  0.500  0.500
Tc  0.500  0.500  0.500
Hg  0.500  0.500  0.000

* calculated density: 6.933 g cm⁻³
* raw total energy: -3.47 eV per atom
* V: 136.7 Å³/f.u.

---

3.
A relaxed TaCuBr2 crystal, computed with GGA-PBE.

Cell lengths 6.583, 6.583, 6.583 Å; angles 90.00, 90.00, 90.00 degrees
Space group Fm-3m (No. 225)
One atom of each set of equivalent atoms:
Ta  0.000  0.000  0.000
Cu  0.000  0.000  0.500
Br  0.250  0.250  0.250

* formation energy (no corrections): 0.656 eV/atom
* calculated density: 9.415 g cm⁻³
* V: 71.3 Å³/f.u.
* E above lowest polymorph: 0.7917 eV per atom

---

4.
A relaxed BaTaMn2 crystal, computed with GGA-PBE.

Cell lengths 3.376, 4.205, 13.223 Å; angles 90.00, 90.00, 90.00 degrees
Space group Imm2 (No. 44)
One atom of each set of equivalent atoms:
Ba  0.000  0.000  0.000
Ta  0.000  0.500  0.236
Mn  0.000  0.000  0.344
Mn  0.000  0.500  0.751

* calculated density: 7.574 g cm⁻³
* V: 93.9 Å³/f.u.
* E above lowest polymorph: 0.1534 eV per atom

---

5.
A relaxed TbEr2Rh crystal, computed with GGA-PBE.

Cell lengths 3.471, 3.471, 8.532 Å; angles 90.00, 90.00, 90.00 degrees
Space group P4/mmm (No. 123)
One atom of each set of equivalent atoms:
Tb  0.000  0.000  0.000
Er  0.500  0.500  0.310
Rh  0.000  0.000  0.500

* calculated density: 9.636 g cm⁻³
* V: 102.8 Å³/f.u.
* E above lowest polymorph: 0.1071 eV per atom

---

6.
A relaxed TmMgScAu crystal, computed with GGA-PBE.

Cell lengths 7.092, 7.092, 7.092 Å; angles 90.00, 90.00, 90.00 degrees
Space group F-43m (No. 216)
One atom of each set of equivalent atoms:
Tm  0.000  0.000  0.000
Mg  0.250  0.250  0.750
Sc  0.000  0.000  0.500
Au  0.250  0.250  0.250

* calculated density: 8.104 g cm⁻³
* raw total energy: -4.32 eV per atom
* V: 89.2 Å³/f.u.